(1)
First-principles (PBE) data for an optimized crystal structure of AgPb4Au, as listed in the Alexandria database.

- Total magnetization: 0.0 μB/cell
- Energy relative to the lowest polymorph listed for this composition: 0 meV/atom
- DFT total energy: -21.21 eV per formula unit
- Formation energy from the elements: -0.04 eV per atom

Cell: 7.426 7.426 5.817 Å, 90.00 90.00 90.00°
Space group I422 (No. 97)
Inequivalent atoms, fractional coordinates:
Ag 0.000 0.000 0.000
Pb 0.160 0.340 0.750
Au 0.000 0.000 0.500

***

(2)
First-principles (PBE) data for an optimized crystal structure of Ag4PbAu5, as listed in the Alexandria database.

- Total magnetization: 0.0 μB/cell
- DFT total energy: -31.51 eV per formula unit
- Formation energy from the elements: 0.00 eV per atom

Cell: 3.000 3.000 21.211 Å, 90.00 90.00 90.00°
Space group P4/mmm (No. 123)
Inequivalent atoms, fractional coordinates:
Ag 0.000 0.000 0.095
Ag 0.000 0.000 0.286
Pb 0.000 0.000 0.500
Au 0.500 0.500 0.000
Au 0.500 0.500 0.191
Au 0.500 0.500 0.381

***

(3)
First-principles (PBE) data for an optimized crystal structure of Ag6PbAu5, as listed in the Alexandria database.

- Total magnetization: 0.0 μB/cell
- DFT total energy: -37.32 eV per formula unit
- Formation energy from the elements: -0.01 eV per atom

Cell: 4.186 12.567 8.589 Å, 90.00 90.00 90.00°
Space group Cmmm (No. 65)
Inequivalent atoms, fractional coordinates:
Ag 0.000 0.000 0.238
Ag 0.000 0.331 0.242
Pb 0.000 0.500 0.500
Au 0.000 0.167 0.000
Au 0.000 0.173 0.500
Au 0.000 0.500 0.000

***

(4)
First-principles (PBE) data for an optimized crystal structure of AgPb2Au, as listed in the Alexandria database.

- Total magnetization: 0.0 μB/cell
- Energy relative to the lowest polymorph listed for this composition: 59 meV/atom
- DFT total energy: -13.40 eV per formula unit
- Formation energy from the elements: 0.04 eV per atom

Cell: 3.725 3.808 6.859 Å, 90.00 91.18 90.00°
Space group P2/m (No. 10)
Inequivalent atoms, fractional coordinates:
Ag 0.000 0.000 0.000
Pb 0.499 0.500 0.256
Au 0.000 0.000 0.500

***

(5)
First-principles (PBE) data for an optimized crystal structure of Ag3Pb12Au5, as listed in the Alexandria database.

- Total magnetization: 0.0 μB/cell
- DFT total energy: -67.14 eV per formula unit
- Formation energy from the elements: 0.12 eV per atom

Cell: 16.978 16.978 16.978 Å, 90.00 90.00 90.00°
Space group Ia-3d (No. 230)
Inequivalent atoms, fractional coordinates:
Ag 0.000 0.250 0.125
Pb 0.021 0.079 0.650
Au 0.000 0.000 0.000
Au 0.000 0.250 0.375

***

(6)
First-principles (PBE) data for an optimized crystal structure of Ag3PbAu, as listed in the Alexandria database.

- Total magnetization: 0.0 μB/cell
- Energy relative to the lowest polymorph listed for this composition: 0 meV/atom
- DFT total energy: -14.82 eV per formula unit
- Formation energy from the elements: 0.14 eV per atom

Cell: 6.9022 6.9022 5.5192 Å, 90.00 90.00 120.00°
Space group P6_3/mmc (No. 194)
Inequivalent atoms, fractional coordinates:
Ag 0.1994 0.3988 0.2500
Pb 0.3333 0.6667 0.7500
Au 0.0000 0.0000 0.0000

***

Which value of total magnetization does entry 1 give?
0.0 μB/cell